# Sr2CaZn2Sn2P4O16

A relaxed structure of Sr2CaZn2Sn2P4O16 (PBE-GGA, the Alexandria database).

Cell: 6.4000 7.9684 9.3454 Å, 65.46 72.33 75.20°
With the nearest neighbours (Å) after each atom.
Fractional positions:
Sr1 0.1965 0.1278 0.0592  5 O 2.46-2.68
Sr2 0.8035 0.8722 0.9408  5 O 2.46-2.68
Ca1 0.5000 0.5000 0.0000  6 O 2.39-2.52
Zn1 0.0769 0.2536 0.5758  3 O 2.00-2.11
Zn2 0.9231 0.7464 0.4242  3 O 2.00-2.11
Sn1 0.4838 0.3234 0.4834  3 O 2.28-2.46
Sn2 0.5162 0.6766 0.5166  3 O 2.28-2.46
P1 0.0217 0.5247 0.7408  4 O 1.54-1.61
P2 0.3827 0.9131 0.7885  4 O 1.56-1.57
P3 0.6173 0.0869 0.2115  4 O 1.56-1.57
P4 0.9783 0.4753 0.2592  4 O 1.54-1.61
O1 0.1078 0.5822 0.3040  1 P 1.57
O2 0.1101 0.6946 0.5812  1 P 1.61
O3 0.1422 0.0225 0.7836  1 P 1.57
O4 0.1477 0.3980 0.1355  1 P 1.54
O5 0.2256 0.3972 0.8033  1 P 1.54
O6 0.4059 0.8388 0.9673  1 P 1.56
O7 0.4076 0.7365 0.7491  1 P 1.56
O8 0.4338 0.9617 0.3166  1 P 1.56
O9 0.5662 0.0383 0.6834  1 P 1.56
O10 0.5924 0.2635 0.2509  1 P 1.56
O11 0.5941 0.1612 0.0327  1 P 1.56
O12 0.7744 0.6028 0.1967  1 P 1.54
O13 0.8523 0.6020 0.8645  1 P 1.54
O14 0.8578 0.9775 0.2164  1 P 1.57
O15 0.8899 0.3054 0.4188  1 P 1.61
O16 0.8922 0.4178 0.6960  1 P 1.57

Calculated values
**E_tot**: -6.53 eV/atom
**Spin magnetization**: 0.0 Bohr magnetons per cell
**Space-group type**: No. 2
**Formation energy from raw total energies**: -2198 meV per atom

***

# CaTiSnP3O12

A relaxed structure of CaTiSnP3O12 (PBE-GGA, the Alexandria database).

Cell: 8.9553 8.9553 8.9553 Å, 58.78 58.78 58.78°
With the nearest neighbours (Å) after each atom.
Fractional positions:
Ca1 0.0000 0.0000 0.0000  6 O 2.37-2.46
Ca2 0.5000 0.5000 0.5000  6 O 2.37-2.46
Ti1 0.3578 0.3578 0.3578  6 O 1.99-2.11
Ti2 0.8578 0.8578 0.8578  6 O 1.99-2.11
Sn1 0.1514 0.1514 0.1514  6 O 2.03-2.10
Sn2 0.6514 0.6514 0.6514  6 O 2.03-2.10
P1 0.0466 0.7569 0.4609  4 O 1.53-1.57
P2 0.2569 0.5466 0.9609  4 O 1.53-1.57
P3 0.4609 0.0466 0.7569  4 O 1.53-1.57
P4 0.5466 0.9609 0.2569  4 O 1.53-1.57
P5 0.7569 0.4609 0.0466  4 O 1.53-1.57
P6 0.9609 0.2569 0.5466  4 O 1.53-1.57
O1 0.0084 0.8081 0.6186  1 P 1.53
O2 0.0676 0.9218 0.2708  1 P 1.57
O3 0.0896 0.7299 0.9415  1 P 1.55
O4 0.1186 0.3081 0.5084  1 P 1.53
O5 0.2164 0.3863 0.9836  1 P 1.55
O6 0.2299 0.5896 0.4415  1 P 1.55
O7 0.2708 0.0676 0.9218  1 P 1.57
O8 0.3081 0.5084 0.1186  1 P 1.53
O9 0.3863 0.9836 0.2164  1 P 1.55
O10 0.4218 0.5676 0.7708  1 P 1.57
O11 0.4415 0.2299 0.5896  1 P 1.55
O12 0.4836 0.8863 0.7164  1 P 1.55
O13 0.5084 0.1186 0.3081  1 P 1.53
O14 0.5676 0.7708 0.4218  1 P 1.57
O15 0.5896 0.4415 0.2299  1 P 1.55
O16 0.6186 0.0084 0.8081  1 P 1.53
O17 0.7164 0.4836 0.8863  1 P 1.55
O18 0.7299 0.9415 0.0896  1 P 1.55
O19 0.7708 0.4218 0.5676  1 P 1.57
O20 0.8081 0.6186 0.0084  1 P 1.53
O21 0.8863 0.7164 0.4836  1 P 1.55
O22 0.9218 0.2708 0.0676  1 P 1.57
O23 0.9415 0.0896 0.7299  1 P 1.55
O24 0.9836 0.2164 0.3863  1 P 1.55

Calculated values
**E_tot**: -7.38 eV/atom
**Spin magnetization**: 1.9 Bohr magnetons per cell
**Space-group type**: No. 161
**Formation energy from raw total energies**: -2397 meV per atom

***

# SrCaP2O

A relaxed structure of SrCaP2O (PBE-GGA, the Alexandria database).

Cell: 5.5588 5.5588 4.4664 Å, 90.00 90.00 90.00°
With the nearest neighbours (Å) after each atom.
Fractional positions:
Sr1 0.0000 0.0000 0.0000  2 O 2.23
Ca1 0.5000 0.5000 0.5000  8 P 3.57, 4 O 3.93
P1 0.0000 0.5000 0.0000  2 Sr 2.78
P2 0.5000 0.0000 0.0000  2 Sr 2.78
O1 0.0000 0.0000 0.5000  2 Sr 2.23

Calculated values
**E_tot**: -3.93 eV/atom
**Distance to the lowest polymorph of the same formula**: 342 meV/atom
**Spin magnetization**: 2.4 Bohr magnetons per cell
**Space-group type**: No. 123
**Formation energy from raw total energies**: -37 meV per atom

***

# Sr2Ca2P2O

A relaxed structure of Sr2Ca2P2O (PBE-GGA, the Alexandria database).

Cell: 8.5729 8.5729 8.5729 Å, 148.99 148.99 44.42°
With the nearest neighbours (Å) after each atom.
Fractional positions:
Sr1 0.1723 0.1723 0.0000  1 O 2.74
Sr2 0.8277 0.8277 0.0000  1 O 2.74
Ca1 0.0000 0.5000 0.5000  2 O 2.29
Ca2 0.5000 0.0000 0.5000  2 O 2.29
P1 0.3688 0.3688 0.0000  4 Ca 3.10, 5 Sr 3.12-3.31
P2 0.6312 0.6312 0.0000  4 Ca 3.10, 5 Sr 3.12-3.31
O1 0.0000 0.0000 0.0000  4 Ca 2.29

Calculated values
**E_tot**: -5.00 eV/atom
**Spin magnetization**: 0.0 Bohr magnetons per cell
**Space-group type**: No. 139
**Formation energy from raw total energies**: -1691 meV per atom

***

# SrCaP2O

A relaxed structure of SrCaP2O (PBE-GGA, the Alexandria database).

Cell: 5.3433 5.3433 4.3918 Å, 90.00 90.00 90.00°
With the nearest neighbours (Å) after each atom.
Fractional positions:
Sr1 0.0000 0.0000 0.0000  8 P 3.46, 4 O 3.78
Ca1 0.5000 0.5000 0.5000  2 O 2.20
P1 0.0000 0.5000 0.5000  2 Ca 2.67
P2 0.5000 0.0000 0.5000  2 Ca 2.67
O1 0.5000 0.5000 0.0000  2 Ca 2.20

Calculated values
**E_tot**: -4.27 eV/atom
**Distance to the lowest polymorph of the same formula**: 0 meV/atom
**Spin magnetization**: 2.0 Bohr magnetons per cell
**Space-group type**: No. 123
**Formation energy from raw total energies**: -378 meV per atom

***

# SrCaTiP2O8

A relaxed structure of SrCaTiP2O8 (PBE-GGA, the Alexandria database).

Cell: 5.7669 6.8588 9.6497 Å, 108.37 104.07 97.90°
With the nearest neighbours (Å) after each atom.
Fractional positions:
Sr1 0.2199 0.2002 0.4402  7 O 2.53-2.83
Sr2 0.7801 0.7998 0.5598  7 O 2.53-2.83
Ca1 0.5002 0.4210 0.1622  6 O 2.31-2.43
Ca2 0.4998 0.5790 0.8378  6 O 2.31-2.43
Ti1 0.1026 0.8820 0.0478  5 O 2.06-2.19
Ti2 0.8974 0.1180 0.9522  5 O 2.06-2.19
P1 0.1104 0.5903 0.2747  4 O 1.55-1.57
P2 0.3503 0.0368 0.7943  4 O 1.52-1.58
P3 0.6497 0.9632 0.2057  4 O 1.52-1.58
P4 0.8896 0.4097 0.7253  4 O 1.55-1.57
O1 0.0654 0.4155 0.1138  1 P 1.57
O2 0.1066 0.4513 0.6627  1 P 1.55
O3 0.1367 0.9464 0.8497  1 P 1.58
O4 0.1409 0.8071 0.2560  1 P 1.55
O5 0.2451 0.0074 0.6262  1 P 1.52
O6 0.3540 0.5690 0.3778  1 P 1.57
O7 0.4479 0.0942 0.1857  1 P 1.58
O8 0.4729 0.2684 0.9049  1 P 1.55
O9 0.5271 0.7316 0.0951  1 P 1.55
O10 0.5521 0.9058 0.8143  1 P 1.58
O11 0.6460 0.4310 0.6222  1 P 1.57
O12 0.7549 0.9926 0.3738  1 P 1.52
O13 0.8591 0.1929 0.7440  1 P 1.55
O14 0.8633 0.0536 0.1503  1 P 1.58
O15 0.8934 0.5487 0.3373  1 P 1.55
O16 0.9346 0.5845 0.8862  1 P 1.57

Calculated values
**E_tot**: -7.44 eV/atom
**Spin magnetization**: 0.0 Bohr magnetons per cell
**Space-group type**: No. 2
**Formation energy from raw total energies**: -2662 meV per atom

***

Copy entry 6 word for word.
# SrCaTiP2O8

A relaxed structure of SrCaTiP2O8 (PBE-GGA, the Alexandria database).

Cell: 5.7669 6.8588 9.6497 Å, 108.37 104.07 97.90°
With the nearest neighbours (Å) after each atom.
Fractional positions:
Sr1 0.2199 0.2002 0.4402  7 O 2.53-2.83
Sr2 0.7801 0.7998 0.5598  7 O 2.53-2.83
Ca1 0.5002 0.4210 0.1622  6 O 2.31-2.43
Ca2 0.4998 0.5790 0.8378  6 O 2.31-2.43
Ti1 0.1026 0.8820 0.0478  5 O 2.06-2.19
Ti2 0.8974 0.1180 0.9522  5 O 2.06-2.19
P1 0.1104 0.5903 0.2747  4 O 1.55-1.57
P2 0.3503 0.0368 0.7943  4 O 1.52-1.58
P3 0.6497 0.9632 0.2057  4 O 1.52-1.58
P4 0.8896 0.4097 0.7253  4 O 1.55-1.57
O1 0.0654 0.4155 0.1138  1 P 1.57
O2 0.1066 0.4513 0.6627  1 P 1.55
O3 0.1367 0.9464 0.8497  1 P 1.58
O4 0.1409 0.8071 0.2560  1 P 1.55
O5 0.2451 0.0074 0.6262  1 P 1.52
O6 0.3540 0.5690 0.3778  1 P 1.57
O7 0.4479 0.0942 0.1857  1 P 1.58
O8 0.4729 0.2684 0.9049  1 P 1.55
O9 0.5271 0.7316 0.0951  1 P 1.55
O10 0.5521 0.9058 0.8143  1 P 1.58
O11 0.6460 0.4310 0.6222  1 P 1.57
O12 0.7549 0.9926 0.3738  1 P 1.52
O13 0.8591 0.1929 0.7440  1 P 1.55
O14 0.8633 0.0536 0.1503  1 P 1.58
O15 0.8934 0.5487 0.3373  1 P 1.55
O16 0.9346 0.5845 0.8862  1 P 1.57

Calculated values
**E_tot**: -7.44 eV/atom
**Spin magnetization**: 0.0 Bohr magnetons per cell
**Space-group type**: No. 2
**Formation energy from raw total energies**: -2662 meV per atom

***

- Which formula does entry 4 have?
  Sr2Ca2P2O